<i>
{
  "formula": "Ho4TcNi",
  "functional": "PBE-GGA",
  "state": "relaxed",
  "lattice": [[-4.5312, 4.5312, 4.0240], [4.5312, -4.5312, 4.0240], [4.5312, 4.5312, -4.0240]],
  "species": ["Ho", "Ho", "Ho", "Ho", "Ho", "Ho", "Ho", "Ho", "Tc", "Tc", "Ni", "Ni"],
  "fractional_positions": [[0.2078, 0.5064, 0.7013], [0.2564, 0.0551, 0.7987], [0.2564, 0.4578, 0.2013], [0.2945, 0.0000, 0.2945], [0.7055, 0.0000, 0.7055], [0.7500, 0.5445, 0.7945], [0.7500, 0.9555, 0.2055], [0.8051, 0.5064, 0.2987], [0.2611, 0.7611, 0.5000], [0.5111, 0.5111, 0.0000], [0.0008, 0.0008, 0.0000], [0.7508, 0.2508, 0.5000]],
  "space_group": "No. 109"
}

<ii>
{
  "formula": "Ho4TcNi",
  "functional": "PBE-GGA",
  "state": "relaxed",
  "lattice": [[7.2973, 0.0000, 0.0000], [0.0000, 4.4182, 0.0000], [0.0000, 0.0000, 17.6857]],
  "species": ["Ho", "Ho", "Ho", "Ho", "Ho", "Ho", "Ho", "Ho", "Ho", "Ho", "Ho", "Ho", "Ho", "Ho", "Ho", "Ho", "Tc", "Tc", "Tc", "Tc", "Ni", "Ni", "Ni", "Ni"],
  "fractional_positions": [[0.0118, 0.2500, 0.0758], [0.0746, 0.2500, 0.7794], [0.0891, 0.2500, 0.3505], [0.1505, 0.2500, 0.5456], [0.3495, 0.7500, 0.0456], [0.4109, 0.7500, 0.8505], [0.4254, 0.7500, 0.2794], [0.4882, 0.7500, 0.5758], [0.5118, 0.2500, 0.4242], [0.5746, 0.2500, 0.7206], [0.5891, 0.2500, 0.1495], [0.6505, 0.2500, 0.9544], [0.8495, 0.7500, 0.4544], [0.9109, 0.7500, 0.6495], [0.9254, 0.7500, 0.2206], [0.9882, 0.7500, 0.9242], [0.2501, 0.2500, 0.9374], [0.2499, 0.7500, 0.4374], [0.7501, 0.2500, 0.5626], [0.7499, 0.7500, 0.0626], [0.2262, 0.2500, 0.2060], [0.2738, 0.7500, 0.7060], [0.7262, 0.2500, 0.2940], [0.7738, 0.7500, 0.7940]],
  "space_group": "No. 62"
}

Relative stability in meV/atom, measured from the most stable structure: <i> 171; <ii> 0

<i>
{
  "formula": "Ho8TcNi2",
  "functional": "PBE-GGA",
  "state": "relaxed",
  "lattice": [[8.4752, -2.4914, 0.0000], [8.4752, 2.4914, 0.0000], [-1.9863, 0.0000, 6.3704]],
  "species": ["Ho", "Ho", "Ho", "Ho", "Ho", "Ho", "Ho", "Ho", "Tc", "Ni", "Ni"],
  "fractional_positions": [[0.0345, 0.0345, 0.2950], [0.1986, 0.1986, 0.8195], [0.3289, 0.3289, 0.5258], [0.4069, 0.4069, 0.0511], [0.5931, 0.5931, 0.9489], [0.6711, 0.6711, 0.4742], [0.8014, 0.8014, 0.1805], [0.9655, 0.9655, 0.7050], [0.5000, 0.5000, 0.5000], [0.1872, 0.1872, 0.2063], [0.8128, 0.8128, 0.7937]],
  "space_group": "No. 12"
}

<ii>
{
  "formula": "Ho8TcNi2",
  "functional": "PBE-GGA",
  "state": "relaxed",
  "lattice": [[4.0716, -6.2850, 0.0000], [4.0716, 6.2850, 0.0000], [-1.7994, 0.0000, 5.4444]],
  "species": ["Ho", "Ho", "Ho", "Ho", "Ho", "Ho", "Ho", "Ho", "Tc", "Ni", "Ni"],
  "fractional_positions": [[0.0000, 0.0000, 0.0000], [0.0285, 0.2814, 0.5745], [0.1386, 0.5727, 0.1745], [0.2814, 0.0285, 0.5745], [0.4364, 0.6886, 0.7627], [0.5727, 0.1386, 0.1745], [0.6886, 0.4364, 0.7627], [0.7214, 0.7214, 0.3563], [0.3619, 0.3619, 0.2819], [0.0551, 0.6685, 0.6790], [0.6685, 0.0551, 0.6790]],
  "space_group": "No. 8"
}

Relative stability in meV/atom, measured from the most stable structure: <i> 0; <ii> 72

<i>
{
  "formula": "Ho2NiTe",
  "functional": "PBE-GGA",
  "state": "relaxed",
  "lattice": [[4.0832, 0.0000, 0.0000], [-2.0416, 3.5361, 0.0000], [0.0000, 0.0000, 21.2352]],
  "species": ["Ho", "Ho", "Ho", "Ho", "Ho", "Ho", "Ni", "Ni", "Ni", "Te", "Te", "Te"],
  "fractional_positions": [[0.0000, 0.0000, 0.0000], [0.0000, 0.0000, 0.1988], [0.3333, 0.6667, 0.6667], [0.3333, 0.6667, 0.8654], [0.6667, 0.3333, 0.3333], [0.6667, 0.3333, 0.5321], [0.0000, 0.0000, 0.6012], [0.3333, 0.6667, 0.2679], [0.6667, 0.3333, 0.9346], [0.0000, 0.0000, 0.7659], [0.3333, 0.6667, 0.4325], [0.6667, 0.3333, 0.0992]],
  "space_group": "No. 160"
}

<ii>
{
  "formula": "Ho2NiTe",
  "functional": "PBE-GGA",
  "state": "relaxed",
  "lattice": [[4.0058, 0.0000, 0.0000], [0.0000, 22.4675, 0.0000], [0.0000, 0.0000, 4.3466]],
  "species": ["Ho", "Ho", "Ho", "Ho", "Ho", "Ho", "Ho", "Ho", "Ni", "Ni", "Ni", "Ni", "Te", "Te", "Te", "Te"],
  "fractional_positions": [[0.0000, 0.0559, 0.2500], [0.0000, 0.3438, 0.2500], [0.0000, 0.6562, 0.7500], [0.0000, 0.9441, 0.7500], [0.5000, 0.1562, 0.7500], [0.5000, 0.4441, 0.7500], [0.5000, 0.5559, 0.2500], [0.5000, 0.8438, 0.2500], [0.0000, 0.4675, 0.2500], [0.0000, 0.5325, 0.7500], [0.5000, 0.0325, 0.7500], [0.5000, 0.9675, 0.2500], [0.0000, 0.1953, 0.2500], [0.0000, 0.8047, 0.7500], [0.5000, 0.3047, 0.7500], [0.5000, 0.6953, 0.2500]],
  "space_group": "No. 63"
}

<iii>
{
  "formula": "Ho2NiTe",
  "functional": "PBE-GGA",
  "state": "relaxed",
  "lattice": [[4.0233, 0.0000, 0.0000], [-2.0117, 3.4843, 0.0000], [0.0000, 0.0000, 21.6885]],
  "species": ["Ho", "Ho", "Ho", "Ho", "Ho", "Ho", "Ni", "Ni", "Ni", "Te", "Te", "Te"],
  "fractional_positions": [[0.0000, 0.0000, 0.2355], [0.0000, 0.0000, 0.7645], [0.3333, 0.6667, 0.4312], [0.3333, 0.6667, 0.9021], [0.6667, 0.3333, 0.0979], [0.6667, 0.3333, 0.5688], [0.0000, 0.0000, 0.5000], [0.3333, 0.6667, 0.1667], [0.6667, 0.3333, 0.8333], [0.0000, 0.0000, 0.0000], [0.3333, 0.6667, 0.6667], [0.6667, 0.3333, 0.3333]],
  "space_group": "No. 166"
}

Relative stability in meV/atom, measured from the most stable structure: <i> 21; <ii> 0; <iii> 41

<i>
{
  "formula": "Ho2ThNi2",
  "functional": "PBE-GGA",
  "state": "relaxed",
  "lattice": [[5.4813, 0.0000, 0.0000], [0.0000, 4.1884, 0.0000], [-0.4033, 0.0000, 10.4040]],
  "species": ["Ho", "Ho", "Ho", "Ho", "Th", "Th", "Ni", "Ni", "Ni", "Ni"],
  "fractional_positions": [[0.1489, 0.2500, 0.1166], [0.2440, 0.2500, 0.4567], [0.7560, 0.7500, 0.5433], [0.8511, 0.7500, 0.8834], [0.3341, 0.2500, 0.7954], [0.6659, 0.7500, 0.2046], [0.2629, 0.7500, 0.6344], [0.3586, 0.7500, 0.9788], [0.6414, 0.2500, 0.0212], [0.7371, 0.2500, 0.3656]],
  "space_group": "No. 11"
}

<ii>
{
  "formula": "Ho2ThNi2",
  "functional": "PBE-GGA",
  "state": "relaxed",
  "lattice": [[5.4964, -2.9758, 0.0000], [5.4964, 2.9758, 0.0000], [-1.2678, 0.0000, 7.0105]],
  "species": ["Ho", "Ho", "Ho", "Ho", "Th", "Th", "Ni", "Ni", "Ni", "Ni"],
  "fractional_positions": [[0.0505, 0.2654, 0.1552], [0.2654, 0.0505, 0.6552], [0.7346, 0.9495, 0.3448], [0.9495, 0.7346, 0.8448], [0.4008, 0.5992, 0.2500], [0.5992, 0.4008, 0.7500], [0.2092, 0.4714, 0.4869], [0.4714, 0.2092, 0.9869], [0.5286, 0.7908, 0.0131], [0.7908, 0.5286, 0.5131]],
  "space_group": "No. 15"
}

Relative stability in meV/atom, measured from the most stable structure: <i> 43; <ii> 0

<i>
{
  "formula": "HoTh2Ni",
  "functional": "PBE-GGA",
  "state": "relaxed",
  "lattice": [[3.5868, 0.0000, 0.0000], [-1.7934, 3.1063, 0.0000], [0.0000, 0.0000, 31.0294]],
  "species": ["Ho", "Ho", "Ho", "Th", "Th", "Th", "Th", "Th", "Th", "Ni", "Ni", "Ni"],
  "fractional_positions": [[0.0000, 0.0000, 0.0000], [0.3333, 0.6667, 0.6667], [0.6667, 0.3333, 0.3333], [0.0000, 0.0000, 0.1067], [0.0000, 0.0000, 0.8933], [0.3333, 0.6667, 0.5600], [0.3333, 0.6667, 0.7733], [0.6667, 0.3333, 0.2267], [0.6667, 0.3333, 0.4400], [0.0000, 0.0000, 0.5000], [0.3333, 0.6667, 0.1667], [0.6667, 0.3333, 0.8333]],
  "space_group": "No. 166"
}

<ii>
{
  "formula": "HoTh2Ni",
  "functional": "PBE-GGA",
  "state": "relaxed",
  "lattice": [[6.9900, 0.0000, 0.0000], [0.0000, 9.9516, 0.0000], [0.0000, 0.0000, 6.1654]],
  "species": ["Ho", "Ho", "Ho", "Ho", "Th", "Th", "Th", "Th", "Th", "Th", "Th", "Th", "Ni", "Ni", "Ni", "Ni"],
  "fractional_positions": [[0.0469, 0.2500, 0.1594], [0.4531, 0.7500, 0.6594], [0.5469, 0.2500, 0.3406], [0.9531, 0.7500, 0.8406], [0.1839, 0.0634, 0.6549], [0.1839, 0.4366, 0.6549], [0.3161, 0.5634, 0.1549], [0.3161, 0.9366, 0.1549], [0.6839, 0.0634, 0.8451], [0.6839, 0.4366, 0.8451], [0.8161, 0.5634, 0.3451], [0.8161, 0.9366, 0.3451], [0.1083, 0.7500, 0.3986], [0.3917, 0.2500, 0.8986], [0.6083, 0.7500, 0.1014], [0.8917, 0.2500, 0.6014]],
  "space_group": "No. 62"
}

Relative stability in meV/atom, measured from the most stable structure: <i> 366; <ii> 0

<i>
{
  "formula": "HoTh2Ni",
  "functional": "PBE-GGA",
  "state": "relaxed",
  "lattice": [[3.6517, 0.0000, 0.0000], [0.0000, 9.9376, 0.0000], [-1.8240, 0.0000, 5.8588]],
  "species": ["Ho", "Ho", "Th", "Th", "Th", "Th", "Ni", "Ni"],
  "fractional_positions": [[0.0891, 0.2500, 0.1797], [0.9109, 0.7500, 0.8203], [0.3646, 0.0585, 0.7283], [0.3646, 0.4415, 0.7283], [0.6354, 0.5585, 0.2717], [0.6354, 0.9415, 0.2717], [0.2174, 0.7500, 0.4343], [0.7826, 0.2500, 0.5657]],
  "space_group": "No. 11"
}

<ii>
{
  "formula": "HoTh2Ni",
  "functional": "PBE-GGA",
  "state": "relaxed",
  "lattice": [[3.5556, 0.0000, 0.0000], [0.0000, 3.5556, 0.0000], [0.0000, 0.0000, 8.4687]],
  "species": ["Ho", "Th", "Th", "Ni"],
  "fractional_positions": [[0.0000, 0.0000, 0.0000], [0.5000, 0.5000, 0.3053], [0.5000, 0.5000, 0.6947], [0.0000, 0.0000, 0.5000]],
  "space_group": "No. 123"
}

Relative stability in meV/atom, measured from the most stable structure: <i> 0; <ii> 130

<i>
{
  "formula": "Ho2ThNi6",
  "functional": "PBE-GGA",
  "state": "relaxed",
  "lattice": [[7.0288, 0.0000, 0.0000], [-3.5144, 6.0871, 0.0000], [0.0000, 0.0000, 3.6656]],
  "species": ["Ho", "Ho", "Th", "Ni", "Ni", "Ni", "Ni", "Ni", "Ni"],
  "fractional_positions": [[0.3333, 0.6667, 0.0000], [0.6667, 0.3333, 0.0000], [0.0000, 0.0000, 0.0000], [0.0000, 0.3343, 0.5000], [0.0000, 0.6657, 0.5000], [0.3343, 0.0000, 0.5000], [0.3343, 0.3343, 0.5000], [0.6657, 0.0000, 0.5000], [0.6657, 0.6657, 0.5000]],
  "space_group": "No. 191"
}

<ii>
{
  "formula": "Ho2ThNi6",
  "functional": "PBE-GGA",
  "state": "relaxed",
  "lattice": [[-1.7896, 3.4450, 6.4531], [1.7896, -3.4450, 6.4531], [1.7896, 3.4450, -6.4531]],
  "species": ["Ho", "Ho", "Th", "Ni", "Ni", "Ni", "Ni", "Ni", "Ni"],
  "fractional_positions": [[0.1444, 0.1444, 0.0000], [0.8556, 0.8556, 0.0000], [0.5000, 0.0000, 0.5000], [0.1509, 0.3315, 0.8194], [0.1764, 0.5000, 0.6764], [0.4879, 0.6685, 0.8194], [0.5121, 0.3315, 0.1806], [0.8236, 0.5000, 0.3236], [0.8491, 0.6685, 0.1806]],
  "space_group": "No. 71"
}

Relative stability in meV/atom, measured from the most stable structure: <i> 0; <ii> 184

<i>
{
  "formula": "HoThNi3",
  "functional": "PBE-GGA",
  "state": "relaxed",
  "lattice": [[1.9219, -12.4527, 0.0000], [1.9219, 12.4527, 0.0000], [0.0000, 0.0000, 3.9629]],
  "species": ["Ho", "Ho", "Th", "Th", "Ni", "Ni", "Ni", "Ni", "Ni", "Ni"],
  "fractional_positions": [[0.2046, 0.7954, 0.7500], [0.7954, 0.2046, 0.2500], [0.0719, 0.9281, 0.2500], [0.9281, 0.0719, 0.7500], [0.3227, 0.6773, 0.7500], [0.3781, 0.6219, 0.2500], [0.4734, 0.5266, 0.2500], [0.5266, 0.4734, 0.7500], [0.6219, 0.3781, 0.7500], [0.6773, 0.3227, 0.2500]],
  "space_group": "No. 63"
}

<ii>
{
  "formula": "HoThNi3",
  "functional": "PBE-GGA",
  "state": "relaxed",
  "lattice": [[1.8599, -12.5891, 0.0000], [1.8599, 12.5891, 0.0000], [0.0000, 0.0000, 4.0538]],
  "species": ["Ho", "Ho", "Th", "Th", "Ni", "Ni", "Ni", "Ni", "Ni", "Ni"],
  "fractional_positions": [[0.0672, 0.9328, 0.7500], [0.9328, 0.0672, 0.2500], [0.1958, 0.8042, 0.2500], [0.8042, 0.1958, 0.7500], [0.3212, 0.6788, 0.2500], [0.3851, 0.6149, 0.7500], [0.4772, 0.5228, 0.7500], [0.5228, 0.4772, 0.2500], [0.6149, 0.3851, 0.2500], [0.6788, 0.3212, 0.7500]],
  "space_group": "No. 63"
}

Relative stability in meV/atom, measured from the most stable structure: <i> 0; <ii> 19

<i>
{
  "formula": "Ho3TlNi",
  "functional": "PBE-GGA",
  "state": "relaxed",
  "lattice": [[5.1737, 0.0000, 0.0000], [0.0000, 5.1737, 0.0000], [0.0000, 0.0000, 5.1737]],
  "species": ["Ho", "Ho", "Ho", "Tl", "Ni"],
  "fractional_positions": [[0.0000, 0.0000, 0.5000], [0.0000, 0.5000, 0.0000], [0.5000, 0.0000, 0.0000], [0.5000, 0.5000, 0.5000], [0.0000, 0.0000, 0.0000]],
  "space_group": "No. 221"
}

<ii>
{
  "formula": "Ho3TlNi",
  "functional": "PBE-GGA",
  "state": "relaxed",
  "lattice": [[8.3397, 0.0000, 0.0000], [0.0000, 3.8940, 0.0000], [-3.2882, 0.0000, 7.9505]],
  "species": ["Ho", "Ho", "Ho", "Ho", "Ho", "Ho", "Tl", "Tl", "Ni", "Ni"],
  "fractional_positions": [[0.0409, 0.2500, 0.2318], [0.3174, 0.7500, 0.5763], [0.3272, 0.2500, 0.9066], [0.6728, 0.7500, 0.0934], [0.6826, 0.2500, 0.4237], [0.9591, 0.7500, 0.7682], [0.3434, 0.7500, 0.2129], [0.6566, 0.2500, 0.7871], [0.0670, 0.2500, 0.5853], [0.9330, 0.7500, 0.4147]],
  "space_group": "No. 11"
}

Relative stability in meV/atom, measured from the most stable structure: <i> 134; <ii> 0

<i>
{
  "formula": "HoTmNi",
  "functional": "PBE-GGA",
  "state": "relaxed",
  "lattice": [[6.6352, 0.0000, 0.0000], [0.0000, 6.6352, 0.0000], [0.0000, 0.0000, 6.6352]],
  "species": ["Ho", "Ho", "Ho", "Ho", "Tm", "Tm", "Tm", "Tm", "Ni", "Ni", "Ni", "Ni"],
  "fractional_positions": [[0.0000, 0.0000, 0.0000], [0.0000, 0.5000, 0.5000], [0.5000, 0.0000, 0.5000], [0.5000, 0.5000, 0.0000], [0.0000, 0.0000, 0.5000], [0.0000, 0.5000, 0.0000], [0.5000, 0.0000, 0.0000], [0.5000, 0.5000, 0.5000], [0.2500, 0.2500, 0.7500], [0.2500, 0.7500, 0.2500], [0.7500, 0.2500, 0.2500], [0.7500, 0.7500, 0.7500]],
  "space_group": "No. 216"
}

<ii>
{
  "formula": "HoTmNi",
  "functional": "PBE-GGA",
  "state": "relaxed",
  "lattice": [[12.6709, 0.0000, 0.0000], [0.0000, 3.3590, 0.0000], [-1.8273, 0.0000, 6.5442]],
  "species": ["Ho", "Ho", "Ho", "Ho", "Tm", "Tm", "Tm", "Tm", "Ni", "Ni", "Ni", "Ni"],
  "fractional_positions": [[0.1313, 0.0000, 0.0660], [0.3687, 0.5000, 0.9340], [0.6313, 0.5000, 0.0660], [0.8687, 0.0000, 0.9340], [0.1318, 0.0000, 0.5659], [0.3682, 0.5000, 0.4341], [0.6318, 0.5000, 0.5659], [0.8682, 0.0000, 0.4341], [0.0007, 0.5000, 0.7431], [0.4993, 0.0000, 0.2569], [0.5007, 0.0000, 0.7431], [0.9993, 0.5000, 0.2569]],
  "space_group": "No. 12"
}

<iii>
{
  "formula": "HoTmNi",
  "functional": "PBE-GGA",
  "state": "relaxed",
  "lattice": [[6.8326, 0.0000, 0.0000], [0.0000, 6.6405, 0.0000], [-2.4776, 0.0000, 6.4582]],
  "species": ["Ho", "Ho", "Ho", "Ho", "Tm", "Tm", "Tm", "Tm", "Ni", "Ni", "Ni", "Ni"],
  "fractional_positions": [[0.1998, 0.1860, 0.0782], [0.1998, 0.3140, 0.5782], [0.8002, 0.6860, 0.4218], [0.8002, 0.8140, 0.9218], [0.3016, 0.6860, 0.9999], [0.3016, 0.8140, 0.4999], [0.6984, 0.1860, 0.5001], [0.6984, 0.3140, 0.0001], [0.0509, 0.5401, 0.2081], [0.0509, 0.9599, 0.7081], [0.9491, 0.0401, 0.2919], [0.9491, 0.4599, 0.7919]],
  "space_group": "No. 14"
}

<iv>
{
  "formula": "HoTmNi",
  "functional": "PBE-GGA",
  "state": "relaxed",
  "lattice": [[3.8910, 0.0000, 0.0000], [-1.9455, 3.3697, 0.0000], [0.0000, 0.0000, 6.0415]],
  "species": ["Ho", "Tm", "Ni"],
  "fractional_positions": [[0.0000, 0.0000, 0.0000], [0.3333, 0.6667, 0.4801], [0.6667, 0.3333, 0.2438]],
  "space_group": "No. 156"
}

Relative stability in meV/atom, measured from the most stable structure: <i> 87; <ii> 0; <iii> 20; <iv> 94